A plane-wave DFT calculation with PBE was carried out for a geometry-optimized Ce8PuAg6 structure.

Summary:
E_tot in eV/atom: -5.341
Symmetry: P-3
Magnetization in Bohr magnetons per cell: 3.34

Lattice parameters (Å, degrees): 5.290 8.925 8.925 120.00 90.00 90.00
Atoms (fractional coordinates):
Ag 0.253 0.514 0.606
Ce 0.248 0.784 0.029
Ce 0.755 0.333 0.667
Ce 0.248 0.971 0.755
Ce 0.245 0.667 0.333
Ag 0.253 0.092 0.486
Ag 0.747 0.486 0.394
Ce 0.752 0.029 0.245
Ce 0.248 0.245 0.216
Ag 0.253 0.394 0.908
Ag 0.747 0.606 0.092
Ag 0.747 0.908 0.514
Ce 0.752 0.216 0.971
Ce 0.752 0.755 0.784
Pu 0.500 0.000 0.000

=====

A plane-wave DFT calculation with PBE was carried out for a geometry-optimized BaScSe structure.

Summary:
E_tot in eV/atom: -4.815
Energy relative to the elements, uncorrected in kJ/mol of formula units: -261
Symmetry: P3m1
Magnetization in Bohr magnetons per cell: 0.58

Lattice parameters (Å, degrees): 4.064 4.064 7.020 90.00 90.00 120.00
Atoms (fractional coordinates):
Ba 0.000 0.000 0.946
Se 0.667 0.333 0.623
Sc 0.333 0.667 0.431

=====

A plane-wave DFT calculation with PBE was carried out for a geometry-optimized AcDyIr2 structure.

Summary:
E_tot in eV/atom: -7.135
Symmetry: Fm-3m
Magnetization in Bohr magnetons per cell: 0.00

Lattice parameters (Å, degrees): 5.060 5.060 5.060 60.00 60.00 60.00
Atoms (fractional coordinates):
Ac 0.500 0.500 0.500
Ir 0.750 0.750 0.750
Ir 0.250 0.250 0.250
Dy 0.000 0.000 0.000

=====

A plane-wave DFT calculation with PBE was carried out for a geometry-optimized Zr2CrPdN structure.

Summary:
E_tot in eV/atom: -8.848
Energy relative to the elements, uncorrected in kJ/mol of formula units: -386
Symmetry: P4/mmm
Magnetization in Bohr magnetons per cell: 0.00

Lattice parameters (Å, degrees): 4.559 4.559 3.718 90.00 90.00 90.00
Atoms (fractional coordinates):
Zr 0.500 0.000 0.000
Cr 0.000 0.000 0.500
Pd 0.500 0.500 0.500
Zr 0.000 0.500 0.000
N 0.000 0.000 0.000

=====

> Which value of E_tot does entry 3 give?

-7.135 eV/atom

=====

Repeat the second record exactly.
A plane-wave DFT calculation with PBE was carried out for a geometry-optimized BaScSe structure.

Summary:
E_tot in eV/atom: -4.815
Energy relative to the elements, uncorrected in kJ/mol of formula units: -261
Symmetry: P3m1
Magnetization in Bohr magnetons per cell: 0.58

Lattice parameters (Å, degrees): 4.064 4.064 7.020 90.00 90.00 120.00
Atoms (fractional coordinates):
Ba 0.000 0.000 0.946
Se 0.667 0.333 0.623
Sc 0.333 0.667 0.431

=====

> The highest E_tot belongs to which entry?

BaScSe